1.
The following is a GGA-PBE calculation of a relaxed FeIrAu crystal, from Alexandria via LeMat-Bulk.

Formation energy, eV/atom: 0.196
E above lowest polymorph, meV/atom: 49
Electronic total energy, eV per atom: -6.6708

Structure (extended XYZ):
```
3
Lattice="-1.785 -2.584 -3.879 1.740 -4.416 -1.544 -1.868 2.701 3.759" Properties=species:S:1:pos:R:3 pbc="T T T"
Fe -0.031 -4.769 -3.695
Au 0.000 -0.021 -0.017
Ir -0.014 -2.209 -1.711
```


2.
The following is a GGA-PBE calculation of a relaxed Fe2IrAu crystal, from Alexandria via LeMat-Bulk.

Formation energy, eV/atom: 0.108
E above lowest polymorph, meV/atom: 34
Electronic total energy, eV per atom: -7.1576

Structure (extended XYZ):
```
4
Lattice="4.641 -0.069 0.000 1.391 4.428 0.000 -3.016 -2.180 2.774" Properties=species:S:1:pos:R:3 pbc="T T T"
Fe 0.000 0.000 0.000
Fe 3.016 2.180 0.000
Ir 0.696 2.214 1.387
Au 2.321 -0.034 1.387
```


3.
The following is a GGA-PBE calculation of a relaxed Fe2IrAu crystal, from Alexandria via LeMat-Bulk.

Formation energy, eV/atom: 0.166
E above lowest polymorph, meV/atom: 92
Electronic total energy, eV per atom: -7.1000

Structure (extended XYZ):
```
4
Lattice="-4.334 0.772 -1.836 -3.329 -0.028 3.414 4.160 2.289 -0.447" Properties=species:S:1:pos:R:3 pbc="T T T"
Fe -1.500 1.316 1.878
Au -2.002 1.716 -0.747
Ir -3.832 0.372 0.789
Fe 0.000 0.000 0.000
```